--- A ---
LiRePt2: relaxed, PBEsol.

Cell lengths 2.677, 4.241, 5.982 Å; angles 110.76, 102.93, 90.00 degrees
Fractional coordinates of all 4 atoms:
Pt 0.042 0.042 0.084
Pt 0.768 0.268 0.536
Li 0.222 0.722 0.444
Re 0.468 0.468 0.936

---

--- B ---
LiRePt2: relaxed, PBEsol.

Cell lengths 3.856, 3.856, 4.628 Å; angles 114.62, 114.62, 90.00 degrees
Fractional coordinates of all 4 atoms:
Pt 0.250 0.750 0.500
Pt 0.750 0.250 0.500
Li 0.500 0.500 0.000
Re 0.000 0.000 0.000

---

In terms of stability, A leads; the second structure lies 0.070 eV/atom higher.

---

--- A ---
LiPt2Rh: relaxed, PBEsol.

Cell lengths 2.682, 4.441, 4.634 Å; angles 90.00, 90.00, 90.00 degrees
Fractional coordinates of all 4 atoms:
Pt 0.000 0.500 0.688
Pt 0.000 0.000 0.063
Rh 0.500 0.000 0.559
Li 0.500 0.500 0.191

---

--- B ---
LiPt2Rh: relaxed, PBEsol.

Cell lengths 3.797, 3.797, 3.789 Å; angles 90.00, 90.00, 90.00 degrees
Fractional coordinates of all 4 atoms:
Rh 0.500 0.500 0.500
Pt 0.000 0.500 0.000
Pt 0.500 0.000 0.000
Li 0.000 0.000 0.500

---

In terms of stability, A leads; the second structure lies 0.015 eV/atom higher.